# 1
The following is a PBE calculation of an optimized crystal structure of ErTm2Zn3, from Alexandria via LeMat-Bulk.

Unit cell a=3.5283 b=3.5283 c=10.5701 alpha=90.00 beta=90.00 gamma=90.00
Closest atoms and distances in Å follow each position.
Atoms (fractional coordinates):
1 Tm 0.5000 0.5000 0.8338  8 Zn 3.05
2 Tm 0.5000 0.5000 0.1662  8 Zn 3.05
3 Zn 0.0000 0.0000 0.0000  8 Tm 3.05
4 Zn 0.0000 0.0000 0.6684  4 Tm 3.05, 4 Er 3.06
5 Er 0.5000 0.5000 0.5000  8 Zn 3.06
6 Zn 0.0000 0.0000 0.3316  4 Tm 3.05, 4 Er 3.06

Output
crystal system = tetragonal
ΔE_f = -0.35 eV per atom


# 2
The following is a PBE calculation of an optimized crystal structure of AlVRh2, from Alexandria via LeMat-Bulk.

Unit cell a=2.9640 b=4.3328 c=4.3328 alpha=90.00 beta=90.00 gamma=90.00
Closest atoms and distances in Å follow each position.
Atoms (fractional coordinates):
1 V 0.5000 0.0000 0.0000  8 Rh 2.62
2 Rh 0.0000 0.5000 0.0000  4 Al 2.62, 4 V 2.62
3 Al 0.5000 0.5000 0.5000  8 Rh 2.62
4 Rh 0.0000 0.0000 0.5000  4 Al 2.62, 4 V 2.62

Output
crystal system = tetragonal
ΔE_f = -0.63 eV per atom


# 3
The following is a PBE calculation of an optimized crystal structure of LiZn3Ir2, from Alexandria via LeMat-Bulk.

Unit cell a=2.9965 b=4.2777 c=6.9283 alpha=107.98 beta=90.00 gamma=90.00
Closest atoms and distances in Å follow each position.
Atoms (fractional coordinates):
1 Zn 0.5000 0.1746 0.3492  6 Ir 2.62-2.68, 2 Li 2.75, 2 Zn 2.92
2 Zn 0.5000 0.8254 0.6508  6 Ir 2.62-2.68, 2 Li 2.75, 2 Zn 2.92
3 Li 0.0000 0.0000 0.0000  8 Zn 2.61-2.75
4 Zn 0.5000 0.5000 0.0000  4 Ir 2.55, 4 Li 2.61
5 Ir 0.0000 0.3436 0.6872  8 Zn 2.55-2.68
6 Ir 0.0000 0.6564 0.3128  8 Zn 2.55-2.68

Output
crystal system = orthorhombic
ΔE_f = -0.26 eV per atom


# 4
The following is a PBE calculation of an optimized crystal structure of Y5Ag2Rh, from Alexandria via LeMat-Bulk.

Unit cell a=4.9261 b=7.0684 c=11.8787 alpha=90.00 beta=90.00 gamma=90.00
Closest atoms and distances in Å follow each position.
Atoms (fractional coordinates):
1 Y 0.5000 0.1765 0.0890  2 Rh 2.96, 2 Ag 3.00-3.10, 1 Y 3.27
2 Y 0.5000 0.6765 0.4110  2 Rh 2.96, 2 Ag 3.00-3.10, 1 Y 3.27
3 Rh 0.0000 0.0000 0.0000  6 Y 2.68-2.96
4 Y 0.0000 0.8532 0.2079  1 Rh 2.68
5 Ag 0.5000 0.5852 0.1557  6 Y 3.00-3.17
6 Ag 0.5000 0.0852 0.3443  6 Y 3.00-3.17
7 Y 0.5000 0.8235 0.9110  2 Rh 2.96, 2 Ag 3.00-3.10, 1 Y 3.27
8 Y 0.0000 0.0000 0.5000  4 Ag 3.14, 2 Y 3.51
9 Y 0.0000 0.5000 0.0000  4 Ag 3.14, 2 Y 3.51
10 Y 0.0000 0.1468 0.7921  1 Rh 2.68
11 Rh 0.0000 0.5000 0.5000  6 Y 2.68-2.96
12 Ag 0.5000 0.4148 0.8443  6 Y 3.00-3.17
13 Ag 0.5000 0.9148 0.6557  6 Y 3.00-3.17
14 Y 0.0000 0.3532 0.2921  1 Rh 2.68
15 Y 0.5000 0.3235 0.5890  2 Rh 2.96, 2 Ag 3.00-3.10, 1 Y 3.27
16 Y 0.0000 0.6468 0.7079  1 Rh 2.68

Output
crystal system = orthorhombic
ΔE_f = -0.39 eV per atom


# 5
The following is a PBE calculation of an optimized crystal structure of YHS2, from Alexandria via LeMat-Bulk.

Unit cell a=5.3224 b=5.6083 c=12.3695 alpha=90.00 beta=90.00 gamma=90.00
Closest atoms and distances in Å follow each position.
Atoms (fractional coordinates):
1 S 0.0112 0.9375 0.9017  1 H 1.36
2 S 0.5112 0.9375 0.5983  1 H 1.36
3 S 0.0109 0.9376 0.3526  3 Y 2.65-2.68
4 S 0.9888 0.4375 0.0983  1 H 1.36
5 Y 0.5140 0.9375 0.3627  6 S 2.65-2.91
6 H 0.7657 0.9375 0.6045  1 S 1.36
7 H 0.7343 0.4375 0.1045  1 S 1.36
8 S 0.9891 0.4376 0.6474  3 Y 2.65-2.68
9 S 0.4888 0.4375 0.4017  1 H 1.36
10 H 0.2657 0.9375 0.8955  1 S 1.36
11 Y 0.0140 0.9375 0.1373  6 S 2.65-2.91
12 S 0.4891 0.4376 0.8526  3 Y 2.65-2.68
13 Y 0.4860 0.4375 0.6373  6 S 2.65-2.91
14 Y 0.9860 0.4375 0.8627  6 S 2.65-2.91
15 S 0.5109 0.9376 0.1474  3 Y 2.65-2.68
16 H 0.2343 0.4375 0.3955  1 S 1.36

Output
energy above the lowest structure with this stoichiometry = 11 kJ/mol of formula units
crystal system = orthorhombic


# 6
The following is a PBE calculation of an optimized crystal structure of NdAlSiBr, from Alexandria via LeMat-Bulk.

Unit cell a=4.2228 b=4.2228 c=14.2964 alpha=81.51 beta=81.51 gamma=60.00
Closest atoms and distances in Å follow each position.
Atoms (fractional coordinates):
1 Br 0.2111 0.2111 0.3667  3 Nd 3.05
2 Al 0.6894 0.6894 0.9318  4 Si 2.51-2.53
3 Nd 0.0790 0.0790 0.7630  3 Si 3.01, 3 Br 3.05
4 Al 0.3106 0.3106 0.0682  4 Si 2.51-2.53
5 Si 0.3704 0.3704 0.8889  4 Al 2.51-2.53
6 Si 0.6296 0.6296 0.1111  4 Al 2.51-2.53
7 Br 0.7889 0.7889 0.6333  3 Nd 3.05
8 Nd 0.9210 0.9210 0.2370  3 Si 3.01, 3 Br 3.05

Output
raw formation energy = -349 kJ/mol of formula units
crystal system = trigonal